# 1
Compound: Be3NbPd
Source: the Alexandria database
Functional: PBE
Structure: relaxed

Values from the calculation:
formation enthalpy at 0 K	1.50	eV/atom
density of states at the Fermi level	5.106	states/eV/f.u.
size of the total moment	0.00	Bohr magnetons per cell

Geometry as POSCAR:
```
Be3NbPd
1.0
4.3174 0.0000 0.0000
0.0000 4.3174 0.0000
0.0000 0.0000 4.3174
Be Nb Pd
3 1 1
Direct
0.0000 0.0000 0.5000
0.0000 0.5000 0.0000
0.5000 0.0000 0.0000
0.0000 0.0000 0.0000
0.5000 0.5000 0.5000
```

# 2
Compound: Be2NbPd
Source: the Alexandria database
Functional: PBE
Structure: relaxed

Values from the calculation:
formation enthalpy at 0 K	-0.31	eV/atom
density of states at the Fermi level	1.419	states/eV/f.u.
size of the total moment	0.00	Bohr magnetons per cell

Geometry as POSCAR:
```
Be2NbPd
1.0
2.8247 0.0000 0.0000
0.0000 2.8247 0.0000
0.0000 0.0000 6.2276
Be Nb Pd
2 1 1
Direct
0.0000 0.0000 0.2161
0.0000 0.0000 0.7839
0.5000 0.5000 0.5000
0.5000 0.5000 0.0000
```

# 3
Compound: Be17NbPd
Source: the Alexandria database
Functional: PBE
Structure: relaxed

Values from the calculation:
formation enthalpy at 0 K	-0.18	eV/atom
density of states at the Fermi level	2.143	states/eV/f.u.
size of the total moment	0.00	Bohr magnetons per cell

Geometry as POSCAR:
```
Be17NbPd
1.0
3.6728 2.1205 3.5754
-3.6728 2.1205 3.5754
0.0000 -4.2409 3.5754
Be Nb Pd
17 1 1
Direct
0.0537 0.0537 0.0537
0.1522 0.4559 0.8611
0.1522 0.8611 0.4559
0.1695 0.1695 0.6479
0.1695 0.6479 0.1695
0.2546 0.2546 0.2546
0.3050 0.8088 0.8088
0.4559 0.1522 0.8611
0.4559 0.8611 0.1522
0.5045 0.5045 0.9911
0.5045 0.9911 0.5045
0.6479 0.1695 0.1695
0.8088 0.3050 0.8088
0.8088 0.8088 0.3050
0.8611 0.1522 0.4559
0.8611 0.4559 0.1522
0.9911 0.5045 0.5045
0.4963 0.4963 0.4963
0.8108 0.8108 0.8108
```

# 4
Compound: BeNb2Pd
Source: the Alexandria database
Functional: PBE
Structure: relaxed

Values from the calculation:
formation enthalpy at 0 K	0.41	eV/atom
density of states at the Fermi level	3.817	states/eV/f.u.
size of the total moment	0.00	Bohr magnetons per cell

Geometry as POSCAR:
```
BeNb2Pd
1.0
-1.8543 1.8543 9.6559
1.8543 -1.8543 9.6559
1.8543 1.8543 -9.6559
Be Nb Pd
2 4 2
Direct
0.0000 0.0000 0.0000
0.7500 0.2500 0.5000
0.1134 0.6250 0.9884
0.3750 0.3634 0.4884
0.6366 0.1250 0.0116
0.8750 0.8866 0.5116
0.2500 0.7500 0.5000
0.5000 0.5000 0.0000
```

# 5
Compound: BeNbPd3
Source: the Alexandria database
Functional: PBE
Structure: relaxed

Values from the calculation:
formation enthalpy at 0 K	0.07	eV/atom
density of states at the Fermi level	19.935	states/eV/f.u.
size of the total moment	0.00	Bohr magnetons per cell

Geometry as POSCAR:
```
BeNbPd3
1.0
4.2374 0.0000 0.0000
0.0000 4.2374 0.0000
0.0000 0.0000 4.2374
Be Nb Pd
1 1 3
Direct
0.0000 0.0000 0.0000
0.5000 0.5000 0.5000
0.0000 0.0000 0.5000
0.0000 0.5000 0.0000
0.5000 0.0000 0.0000
```

# 6
Compound: Be2NbPd
Source: the Alexandria database
Functional: PBE
Structure: relaxed

Values from the calculation:
formation enthalpy at 0 K	0.17	eV/atom
density of states at the Fermi level	2.324	states/eV/f.u.
size of the total moment	0.00	Bohr magnetons per cell

Geometry as POSCAR:
```
Be2NbPd
1.0
-3.1888 3.1888 2.6528
3.1888 -3.1888 2.6528
3.1888 3.1888 -2.6528
Be Nb Pd
4 2 2
Direct
0.0986 0.6250 0.9736
0.3750 0.3486 0.4736
0.6514 0.1250 0.0264
0.8750 0.9014 0.5264
0.2500 0.7500 0.5000
0.5000 0.5000 0.0000
0.0000 0.0000 0.0000
0.7500 0.2500 0.5000
```

# 7
Compound: PmBe17Nb
Source: the Alexandria database
Functional: PBE
Structure: relaxed

Values from the calculation:
formation enthalpy at 0 K	-0.13	eV/atom
density of states at the Fermi level	4.719	states/eV/f.u.
size of the total moment	0.00	Bohr magnetons per cell

Geometry as POSCAR:
```
PmBe17Nb
1.0
3.7900 2.1882 3.6960
-3.7900 2.1882 3.6960
0.0000 -4.3763 3.6960
Pm Be Nb
1 17 1
Direct
0.0000 0.0000 0.0000
0.0072 0.0072 0.5000
0.0072 0.5000 0.0072
0.1647 0.6563 0.6563
0.3241 0.3241 0.8171
0.3241 0.8171 0.3241
0.3801 0.6580 0.9481
0.3801 0.9481 0.6580
0.5000 0.0072 0.0072
0.5626 0.5626 0.5626
0.6563 0.1647 0.6563
0.6563 0.6563 0.1647
0.6580 0.3801 0.9481
0.6580 0.9481 0.3801
0.7525 0.7525 0.7525
0.8171 0.3241 0.3241
0.9481 0.3801 0.6580
0.9481 0.6580 0.3801
0.3277 0.3277 0.3277
```

# 8
Compound: Be2Nb2Pt
Source: the Alexandria database
Functional: PBE
Structure: relaxed

Values from the calculation:
formation enthalpy at 0 K	-0.50	eV/atom
density of states at the Fermi level	2.596	states/eV/f.u.
size of the total moment	0.00	Bohr magnetons per cell

Geometry as POSCAR:
```
Be2Nb2Pt
1.0
6.0568 0.0000 0.0000
0.0000 6.0568 0.0000
0.0000 0.0000 3.6920
Be Nb Pt
4 4 2
Direct
0.1278 0.3722 0.0000
0.3722 0.8722 0.0000
0.6278 0.1278 0.0000
0.8722 0.6278 0.0000
0.1701 0.6701 0.5000
0.3299 0.1701 0.5000
0.6701 0.8299 0.5000
0.8299 0.3299 0.5000
0.0000 0.0000 0.0000
0.5000 0.5000 0.0000
```

# 9
Compound: Be2NbPt
Source: the Alexandria database
Functional: PBE
Structure: relaxed

Values from the calculation:
formation enthalpy at 0 K	-0.43	eV/atom
density of states at the Fermi level	0.885	states/eV/f.u.
size of the total moment	0.00	Bohr magnetons per cell

Geometry as POSCAR:
```
Be2NbPt
1.0
2.8235 0.0000 0.0000
0.0000 2.8235 0.0000
0.0000 0.0000 6.2761
Be Nb Pt
2 1 1
Direct
0.0000 0.0000 0.2169
0.0000 0.0000 0.7831
0.5000 0.5000 0.5000
0.5000 0.5000 0.0000
```

# 10
Compound: Be2NbPt3
Source: the Alexandria database
Functional: PBE
Structure: relaxed

Values from the calculation:
formation enthalpy at 0 K	-0.77	eV/atom
density of states at the Fermi level	1.775	states/eV/f.u.
size of the total moment	0.00	Bohr magnetons per cell

Geometry as POSCAR:
```
Be2NbPt3
1.0
2.8116 0.0000 0.0000
0.0000 2.8116 0.0000
0.0000 0.0000 9.9843
Be Nb Pt
2 1 3
Direct
0.0000 0.0000 0.1474
0.0000 0.0000 0.8526
0.0000 0.0000 0.5000
0.5000 0.5000 0.0000
0.5000 0.5000 0.2902
0.5000 0.5000 0.7098
```

# 11
Compound: Be2NbPt2
Source: the Alexandria database
Functional: PBE
Structure: relaxed

Values from the calculation:
formation enthalpy at 0 K	-0.42	eV/atom
density of states at the Fermi level	3.488	states/eV/f.u.
size of the total moment	0.00	Bohr magnetons per cell

Geometry as POSCAR:
```
Be2NbPt2
1.0
7.0790 0.0000 0.0000
0.0000 7.0790 0.0000
0.0000 0.0000 2.7069
Be Nb Pt
4 2 4
Direct
0.1598 0.3402 0.0000
0.3402 0.8402 0.0000
0.6598 0.1598 0.0000
0.8402 0.6598 0.0000
0.0000 0.0000 0.5000
0.5000 0.5000 0.5000
0.1378 0.6378 0.5000
0.3622 0.1378 0.5000
0.6378 0.8622 0.5000
0.8622 0.3622 0.5000
```

# 12
Compound: Be5NbPt
Source: the Alexandria database
Functional: PBE
Structure: relaxed

Values from the calculation:
formation enthalpy at 0 K	-0.41	eV/atom
density of states at the Fermi level	2.945	states/eV/f.u.
size of the total moment	0.00	Bohr magnetons per cell

Geometry as POSCAR:
```
Be5NbPt
1.0
7.3852 0.0000 0.0000
0.0000 4.2704 0.0000
0.0000 0.0000 9.1506
Be Nb Pt
20 4 4
Direct
0.0358 0.2500 0.1045
0.0588 0.5051 0.3132
0.0588 0.9949 0.3132
0.0760 0.7500 0.5167
0.2003 0.7500 0.7451
0.2997 0.2500 0.2451
0.4240 0.2500 0.0167
0.4412 0.0051 0.8132
0.4412 0.4949 0.8132
0.4642 0.7500 0.6045
0.5358 0.2500 0.3955
0.5588 0.5051 0.1868
0.5588 0.9949 0.1868
0.5760 0.7500 0.9833
0.7003 0.7500 0.7549
0.7997 0.2500 0.2549
0.9240 0.2500 0.4833
0.9412 0.0051 0.6868
0.9412 0.4949 0.6868
0.9642 0.7500 0.8955
0.2422 0.7500 0.0657
0.2578 0.2500 0.5657
0.7422 0.7500 0.4343
0.7578 0.2500 0.9343
0.1473 0.2500 0.8643
0.3527 0.7500 0.3643
0.6473 0.2500 0.6357
0.8527 0.7500 0.1357
```

# 13
Compound: BeNbPt2
Source: the Alexandria database
Functional: PBE
Structure: relaxed

Values from the calculation:
formation enthalpy at 0 K	-0.10	eV/atom
density of states at the Fermi level	2.417	states/eV/f.u.
size of the total moment	0.00	Bohr magnetons per cell

Geometry as POSCAR:
```
BeNbPt2
1.0
-1.9425 1.9425 8.5430
1.9425 -1.9425 8.5430
1.9425 1.9425 -8.5430
Be Nb Pt
2 2 4
Direct
0.0000 0.0000 0.0000
0.7500 0.2500 0.5000
0.2500 0.7500 0.5000
0.5000 0.5000 0.0000
0.1053 0.6250 0.9803
0.3750 0.3553 0.4803
0.6447 0.1250 0.0197
0.8750 0.8947 0.5197
```

# 14
Compound: Be2NbPt
Source: the Alexandria database
Functional: PBE
Structure: relaxed

Values from the calculation:
formation enthalpy at 0 K	0.24	eV/atom
density of states at the Fermi level	3.250	states/eV/f.u.
size of the total moment	0.00	Bohr magnetons per cell

Geometry as POSCAR:
```
Be2NbPt
1.0
-1.9207 1.9207 8.0620
1.9207 -1.9207 8.0620
1.9207 1.9207 -8.0620
Be Nb Pt
4 2 2
Direct
0.0169 0.6250 0.8919
0.3750 0.2669 0.3919
0.7331 0.1250 0.1081
0.8750 0.9831 0.6081
0.2500 0.7500 0.5000
0.5000 0.5000 0.0000
0.0000 0.0000 0.0000
0.7500 0.2500 0.5000
```

# 15
Compound: BeNb2Pt4
Source: the Alexandria database
Functional: PBE
Structure: relaxed

Values from the calculation:
formation enthalpy at 0 K	-0.09	eV/atom
density of states at the Fermi level	5.749	states/eV/f.u.
size of the total moment	0.00	Bohr magnetons per cell

Geometry as POSCAR:
```
BeNb2Pt4
1.0
-2.0559 2.0559 6.9544
2.0559 -2.0559 6.9544
2.0559 2.0559 -6.9544
Be Nb Pt
1 2 4
Direct
0.0000 0.0000 0.0000
0.3383 0.3383 0.0000
0.6617 0.6617 0.0000
0.0000 0.5000 0.5000
0.1608 0.1608 0.0000
0.5000 0.0000 0.5000
0.8392 0.8392 0.0000
```

# 16
Compound: BeNbPt
Source: the Alexandria database
Functional: PBE
Structure: relaxed

Values from the calculation:
formation enthalpy at 0 K	-0.58	eV/atom
density of states at the Fermi level	1.901	states/eV/f.u.
size of the total moment	0.00	Bohr magnetons per cell

Geometry as POSCAR:
```
BeNbPt
1.0
10.8832 0.0000 0.0000
0.0000 3.6260 0.0000
0.0000 0.0000 6.3201
Be Nb Pt
6 6 6
Direct
0.0936 0.0000 0.0529
0.2500 0.5000 0.5698
0.4064 0.0000 0.0529
0.5936 0.0000 0.9471
0.7500 0.5000 0.4302
0.9064 0.0000 0.9471
0.0387 0.5000 0.7766
0.2500 0.5000 0.1469
0.4613 0.5000 0.7766
0.5387 0.5000 0.2234
0.7500 0.5000 0.8531
0.9613 0.5000 0.2234
0.1211 0.0000 0.4255
0.2500 0.0000 0.8083
0.3789 0.0000 0.4255
0.6211 0.0000 0.5745
0.7500 0.0000 0.1917
0.8789 0.0000 0.5745
```

# 17
Compound: BeNbPt
Source: the Alexandria database
Functional: PBE
Structure: relaxed

Values from the calculation:
formation enthalpy at 0 K	-0.63	eV/atom
density of states at the Fermi level	2.196	states/eV/f.u.
size of the total moment	0.00	Bohr magnetons per cell

Geometry as POSCAR:
```
BeNbPt
1.0
6.4255 0.0000 0.0000
0.0000 3.5670 0.0000
0.0000 0.0000 7.2445
Be Nb Pt
4 4 4
Direct
0.2242 0.2500 0.1267
0.2758 0.7500 0.6267
0.7242 0.2500 0.3733
0.7758 0.7500 0.8733
0.0204 0.7500 0.3328
0.4796 0.2500 0.8328
0.5204 0.7500 0.1672
0.9796 0.2500 0.6672
0.1512 0.7500 0.9321
0.3488 0.2500 0.4321
0.6512 0.7500 0.5679
0.8488 0.2500 0.0679
```

# 18
Compound: Be4NbPt
Source: the Alexandria database
Functional: PBE
Structure: relaxed

Values from the calculation:
formation enthalpy at 0 K	-0.28	eV/atom
density of states at the Fermi level	4.906	states/eV/f.u.
size of the total moment	1.00	Bohr magnetons per cell

Geometry as POSCAR:
```
Be4NbPt
1.0
0.0000 3.1949 3.1949
3.1949 0.0000 3.1949
3.1949 3.1949 0.0000
Be Nb Pt
4 1 1
Direct
0.3785 0.3785 0.3785
0.3785 0.3785 0.8646
0.3785 0.8646 0.3785
0.8646 0.3785 0.3785
0.7500 0.7500 0.7500
0.0000 0.0000 0.0000
```

# 19
Compound: Be2NbPt
Source: the Alexandria database
Functional: PBE
Structure: relaxed

Values from the calculation:
formation enthalpy at 0 K	-0.30	eV/atom
density of states at the Fermi level	4.946	states/eV/f.u.
size of the total moment	1.16	Bohr magnetons per cell

Geometry as POSCAR:
```
Be2NbPt
1.0
0.0000 2.9218 2.9218
2.9218 0.0000 2.9218
2.9218 2.9218 0.0000
Be Nb Pt
2 1 1
Direct
0.2500 0.2500 0.2500
0.7500 0.7500 0.7500
0.0000 0.0000 0.0000
0.5000 0.5000 0.5000
```

# 20
Compound: Be4NbPt5
Source: the Alexandria database
Functional: PBE
Structure: relaxed

Values from the calculation:
formation enthalpy at 0 K	-0.77	eV/atom
density of states at the Fermi level	2.580	states/eV/f.u.
size of the total moment	0.00	Bohr magnetons per cell

Geometry as POSCAR:
```
Be4NbPt5
1.0
2.8320 0.0000 0.0000
0.0000 2.8320 0.0000
0.0000 0.0000 15.6187
Be Nb Pt
4 1 5
Direct
0.0000 0.0000 0.0915
0.0000 0.0000 0.2775
0.0000 0.0000 0.7225
0.0000 0.0000 0.9085
0.0000 0.0000 0.5000
0.5000 0.5000 0.0000
0.5000 0.5000 0.1821
0.5000 0.5000 0.3661
0.5000 0.5000 0.6339
0.5000 0.5000 0.8179
```